A plane-wave DFT calculation with PBE was carried out for a relaxed Pa2PdSe4 crystal.

```
Pa2PdSe4
1.0
6.681 0.000 0.000
0.000 6.721 0.000
-2.219 0.000 7.388
Pa Pd Se
4 2 8
Cartesian
1.258 1.680 0.384
0.262 1.680 4.107
4.199 5.041 3.281
3.204 5.041 7.004
0.898 5.041 2.293
3.563 1.680 5.094
-1.446 3.486 5.578
-1.446 6.595 5.578
2.871 5.041 0.764
1.705 5.041 4.655
2.757 1.680 2.733
1.591 1.680 6.624
5.908 0.126 1.809
5.908 3.235 1.809
```

Output
Volume ... 165.9 Å³/f.u.
E_tot ... -6.5208 eV/atom
Energy relative to the elements, uncorrected ... -1.07 eV per atom
Space group ... P2_1/m (11)
Magnetization ... 0.19 μB/atom

=====

A plane-wave DFT calculation with PBE was carried out for a relaxed PaPd2Se3 crystal.

```
PaPd2Se3
1.0
6.464 0.000 0.000
0.000 4.278 0.000
-0.988 0.000 10.590
Pa Pd Se
2 4 6
Cartesian
0.181 1.070 1.860
5.295 3.209 8.730
-0.460 1.070 6.204
2.275 3.209 0.390
3.202 1.070 10.200
5.936 3.209 4.386
0.717 3.209 6.664
0.497 1.070 9.833
1.675 3.209 2.878
3.802 1.070 7.712
4.980 3.209 0.757
4.760 1.070 3.926
```

Output
Volume ... 146.4 Å³/f.u.
E_tot ... -5.9046 eV/atom
Energy relative to the elements, uncorrected ... -0.85 eV per atom
Space group ... P2_1/m (11)
Magnetization ... 0.00 μB/atom

=====

A plane-wave DFT calculation with PBE was carried out for a relaxed PaPdSe crystal.

```
PaPdSe
1.0
0.000 3.351 3.351
3.351 0.000 3.351
3.351 3.351 0.000
Pa Pd Se
1 1 1
Cartesian
0.000 0.000 0.000
5.026 5.026 5.026
1.675 1.675 1.675
```

Output
Volume ... 75.2 Å³/f.u.
E_tot ... -6.7047 eV/atom
Energy relative to the elements, uncorrected ... -0.65 eV per atom
Space group ... F-43m (216)
Magnetization ... 0.31 μB/atom

=====

A plane-wave DFT calculation with PBE was carried out for a relaxed PaPdSe6 crystal.

```
PaPdSe6
1.0
5.836 0.000 0.000
1.492 6.100 0.000
2.651 2.280 5.924
Pa Pd Se
1 1 6
Cartesian
0.000 0.000 0.000
1.325 1.140 2.962
2.794 3.198 3.076
4.412 6.097 4.543
4.170 5.702 1.096
5.809 2.677 4.828
5.567 2.283 1.381
7.185 5.182 2.848
```

Output
Volume ... 210.9 Å³/f.u.
E_tot ... -4.9918 eV/atom
Energy relative to the elements, uncorrected ... -0.54 eV per atom
Space group ... P-1 (2)
Magnetization ... 0.00 μB/atom

=====

A plane-wave DFT calculation with PBE was carried out for a relaxed PaPdSe3 crystal.

```
PaPdSe3
1.0
10.056 0.000 0.000
0.000 5.719 0.000
-2.556 0.000 8.630
Pa Pd Se
4 4 12
Cartesian
0.956 1.162 1.511
-0.322 1.698 5.826
7.822 4.022 2.804
6.544 4.558 7.119
2.890 4.181 4.922
4.168 4.398 0.607
3.331 1.321 8.024
4.609 1.538 3.709
0.261 4.074 1.203
-1.017 4.505 5.518
0.357 0.557 8.263
1.635 2.303 3.948
2.014 3.195 7.046
3.292 5.384 2.731
4.208 0.335 5.899
5.486 2.524 1.584
5.865 3.416 4.682
7.143 5.163 0.367
8.516 1.214 3.112
7.238 1.646 7.427
```

Output
Volume ... 124.1 Å³/f.u.
E_tot ... -5.8616 eV/atom
Energy relative to the elements, uncorrected ... -0.83 eV per atom
Space group ... P2_1/c (14)
Magnetization ... 0.15 μB/atom

=====

A plane-wave DFT calculation with PBE was carried out for a relaxed Pa2PdSe6 crystal.

```
Pa2PdSe6
1.0
6.413 0.000 0.000
0.000 7.484 0.000
-6.040 0.000 8.865
Pa Pd Se
4 2 12
Cartesian
-0.262 1.033 2.192
-3.282 2.709 6.624
3.656 4.775 2.241
0.636 6.451 6.674
-3.020 0.000 4.433
0.000 3.742 0.000
-4.955 1.154 8.334
-1.935 2.588 3.901
-3.885 4.997 8.359
-0.866 6.230 3.926
-1.895 0.296 6.667
1.125 3.447 2.235
-0.752 4.038 6.631
2.268 7.189 2.198
1.239 1.255 4.940
4.259 2.488 0.507
2.309 4.896 4.964
5.329 6.330 0.531
```

Output
Volume ... 212.8 Å³/f.u.
E_tot ... -6.0872 eV/atom
Energy relative to the elements, uncorrected ... -1.08 eV per atom
Space group ... P2_1/c (14)
Magnetization ... 0.00 μB/atom

=====

A plane-wave DFT calculation with PBE was carried out for a relaxed Pa3PdSe6 crystal.

```
Pa3PdSe6
1.0
5.623 -6.763 0.000
5.623 6.763 0.000
0.000 0.000 6.708
Pa Pd Se
6 2 12
Cartesian
5.623 5.302 3.354
3.750 1.385 2.704
3.750 -1.385 6.058
7.495 1.385 2.704
7.495 -1.385 6.058
5.623 -5.302 0.000
5.623 2.794 5.266
5.623 -2.794 1.912
3.467 3.704 4.344
1.857 0.465 4.710
1.857 -0.465 1.356
5.623 3.126 1.366
7.778 3.704 4.344
5.623 0.327 4.621
5.623 -0.327 1.267
3.467 -3.704 0.990
5.623 -3.126 4.720
9.388 0.465 4.710
9.388 -0.465 1.356
7.778 -3.704 0.990
```

Output
Volume ... 255.1 Å³/f.u.
E_tot ... -6.6720 eV/atom
Energy relative to the elements, uncorrected ... -1.21 eV per atom
Space group ... Cmc2_1 (36)
Magnetization ... 0.23 μB/atom

=====

A plane-wave DFT calculation with PBE was carried out for a relaxed PaPdSe2 crystal.

```
PaPdSe2
1.0
4.616 0.000 0.000
0.000 4.616 0.000
0.000 0.000 3.685
Pa Pd Se
1 1 2
Cartesian
0.000 0.000 0.000
2.308 2.308 0.000
0.000 2.308 1.842
2.308 0.000 1.842
```

Output
Volume ... 78.5 Å³/f.u.
E_tot ... -6.3078 eV/atom
Energy relative to the elements, uncorrected ... -0.89 eV per atom
Space group ... P4/mmm (123)
Magnetization ... 0.12 μB/atom